# 1
This record from the Alexandria database describes a relaxed structure of KLiS. The functional is PBE-GGA.

```
data_KLiS
_chemical_formula_sum 'K1 Li1 S1'
_cell_length_a 4.1700
_cell_length_b 4.1700
_cell_length_c 4.6811
_cell_angle_alpha 90.00
_cell_angle_beta 90.00
_cell_angle_gamma 120.00
_space_group_name_H-M_alt 'P -6 m 2'
_space_group_IT_number 187
_space_group_name_Hall 'P -6 2'
loop_
_atom_site_label
_atom_site_fract_x
_atom_site_fract_y
_atom_site_fract_z
_atom_site_occupancy
K1 0.0000 0.0000 0.0000 1
Li1 0.6667 0.3333 0.5000 1
S1 0.3333 0.6667 0.5000 1
```

Summary:
- DFT total energy: -3.5366 eV/atom



# 2
This record from the Alexandria database describes a relaxed structure of LiZrBr. The functional is PBE-GGA.

```
data_LiZrBr
_chemical_formula_sum 'Li4 Zr4 Br4'
_cell_length_a 6.4282
_cell_length_b 6.4282
_cell_length_c 6.4282
_cell_angle_alpha 90.00
_cell_angle_beta 90.00
_cell_angle_gamma 90.00
_space_group_name_H-M_alt 'F -4 3 m'
_space_group_IT_number 216
_space_group_name_Hall 'F -4 2 3'
loop_
_atom_site_label
_atom_site_fract_x
_atom_site_fract_y
_atom_site_fract_z
_atom_site_occupancy
Li1 0.0000 0.0000 0.0000 1
Zr1 0.0000 0.0000 0.5000 1
Br1 0.2500 0.2500 0.7500 1
```

Summary:
- DFT total energy: -3.8561 eV/atom



# 3
This record from the Alexandria database describes a relaxed structure of Mg2As2Ir. The functional is PBE-GGA.

```
data_Mg2As2Ir
_chemical_formula_sum 'Mg4 As4 Ir2'
_cell_length_a 6.4854
_cell_length_b 6.4854
_cell_length_c 4.3987
_cell_angle_alpha 90.00
_cell_angle_beta 90.00
_cell_angle_gamma 90.00
_space_group_name_H-M_alt 'P 4/m b m'
_space_group_IT_number 127
_space_group_name_Hall '-P 4 2ab'
loop_
_atom_site_label
_atom_site_fract_x
_atom_site_fract_y
_atom_site_fract_z
_atom_site_occupancy
Mg1 0.1769 0.3231 0.0000 1
As1 0.1412 0.6412 0.5000 1
Ir1 0.0000 0.0000 0.5000 1
```

Summary:
- Formation energy: -0.261 eV/atom



# 4
This record from the Alexandria database describes a relaxed structure of Ca2InSn6. The functional is PBE-GGA.

```
data_Ca2InSn6
_chemical_formula_sum 'Ca4 In2 Sn12'
_cell_length_a 11.9440
_cell_length_b 6.4299
_cell_length_c 7.2839
_cell_angle_alpha 90.00
_cell_angle_beta 110.30
_cell_angle_gamma 90.00
_space_group_name_H-M_alt 'C 1 2/m 1'
_space_group_IT_number 12
loop_
_space_group_symop_operation_xyz
'x,y,z'
'-x,-y,-z'
'-x,y,-z'
'x,-y,z'
'x+1/2,y+1/2,z'
'-x+1/2,-y+1/2,-z'
'-x+1/2,y+1/2,-z'
'x+1/2,-y+1/2,z'
loop_
_atom_site_label
_atom_site_fract_x
_atom_site_fract_y
_atom_site_fract_z
_atom_site_occupancy
Ca1 0.1613 0.0000 0.1501 1
In1 0.0000 0.5000 0.0000 1
Sn1 0.0770 0.2423 0.7069 1
Sn2 0.2178 0.5000 0.3582 1
```

Summary:
- Formation energy: -0.230 eV/atom



# 5
This record from the Alexandria database describes a relaxed structure of Y3Sc5O12. The functional is PBE-GGA.

```
data_Y3Sc5O12
_chemical_formula_sum 'Y24 Sc40 O96'
_cell_length_a 12.8799
_cell_length_b 12.8799
_cell_length_c 12.8799
_cell_angle_alpha 90.00
_cell_angle_beta 90.00
_cell_angle_gamma 90.00
_space_group_name_H-M_alt 'I a -3 d'
_space_group_IT_number 230
_space_group_name_Hall '-I 4bd 2c 3'
loop_
_atom_site_label
_atom_site_fract_x
_atom_site_fract_y
_atom_site_fract_z
_atom_site_occupancy
Y1 0.0000 0.2500 0.1250 1
Sc1 0.0000 0.0000 0.0000 1
Sc2 0.0000 0.2500 0.3750 1
O1 0.0241 0.0601 0.6521 1
```

Summary:
- DFT total energy: -8.9805 eV/atom



# 6
This record from the Alexandria database describes a relaxed structure of SrCd. The functional is PBE-GGA.

```
data_SrCd
_chemical_formula_sum 'Sr3 Cd3'
_cell_length_a 4.8193
_cell_length_b 4.8193
_cell_length_c 11.7807
_cell_angle_alpha 90.00
_cell_angle_beta 90.00
_cell_angle_gamma 120.00
_space_group_name_H-M_alt 'R -3 m'
_space_group_IT_number 166
_space_group_name_Hall '-R 3 2"'
loop_
_atom_site_label
_atom_site_fract_x
_atom_site_fract_y
_atom_site_fract_z
_atom_site_occupancy
Sr1 0.0000 0.0000 0.0000 1
Cd1 0.0000 0.0000 0.5000 1
```

Summary:
- Formation energy: -0.156 eV/atom